Crystalline CeTiIn at its relaxed geometry. Source: Alexandria, functional PBE-GGA.

The space group is C2/m (No. 12) and the conventional cell measures 10.2330, 3.9152 and 7.0744 Å, with angles of 90.00, 106.17 and 90.00 degrees. The distinct sites, in fractional coordinates, are Ce at (0.1820, 0.0000, 0.0684), Ti at (0.1728, 0.0000, 0.5684) and In at (0.0094, 0.5000, 0.2885).

As for the energy of formation from the pure elements: -0.115 eV per atom. Its relative energy among the computed polymorphs is 0 meV per atom.